(1)
PBE-GGA Y5InHg6, optimized geometry; total moment = 0.13 μB per cell; crystal system = orthorhombic; SG = No. 65
1.0
2.6100 -7.7626 0.0000
2.6100 7.7626 0.0000
0.0000 0.0000 7.5096
Y In Hg
5 1 6
Direct
0.0000 0.0000 0.0000 Y
0.3263 0.6737 0.0000 Y
0.3461 0.6539 0.5000 Y
0.6539 0.3461 0.5000 Y
0.6737 0.3263 0.0000 Y
0.0000 0.0000 0.5000 In
0.1694 0.8306 0.2597 Hg
0.1694 0.8306 0.7403 Hg
0.5000 0.5000 0.2319 Hg
0.5000 0.5000 0.7681 Hg
0.8306 0.1694 0.2597 Hg
0.8306 0.1694 0.7403 Hg

---

(2)
PBE-GGA Y2In5Hg12, optimized geometry; total moment = 0.00 μB per cell; crystal system = monoclinic; SG = No. 12
1.0
10.1716 -4.9587 0.0000
10.1716 4.9587 0.0000
-1.2263 0.0000 4.8955
Y In Hg
2 5 12
Direct
0.2184 0.7816 0.0000 Y
0.7816 0.2184 0.0000 Y
0.0000 0.0000 0.5000 In
0.2020 0.2020 0.6995 In
0.2996 0.2996 0.2975 In
0.7004 0.7004 0.7025 In
0.7980 0.7980 0.3005 In
0.0704 0.5427 0.8087 Hg
0.1117 0.1117 0.1096 Hg
0.1887 0.6299 0.4111 Hg
0.3701 0.8113 0.5889 Hg
0.4185 0.4185 0.9187 Hg
0.4573 0.9296 0.1913 Hg
0.5427 0.0704 0.8087 Hg
0.5815 0.5815 0.0813 Hg
0.6299 0.1887 0.4111 Hg
0.8113 0.3701 0.5889 Hg
0.8883 0.8883 0.8904 Hg
0.9296 0.4573 0.1913 Hg

---

(3)
PBE-GGA YInHg3, optimized geometry; total moment = 0.00 μB per cell; crystal system = orthorhombic; SG = No. 63
1.0
4.4014 -5.9229 0.0000
4.4014 5.9229 0.0000
0.0000 0.0000 9.8143
Y In Hg
4 4 12
Direct
0.1304 0.8696 0.7500 Y
0.3491 0.6509 0.2500 Y
0.6509 0.3491 0.7500 Y
0.8696 0.1304 0.2500 Y
0.0000 0.5000 0.0000 In
0.0000 0.5000 0.5000 In
0.5000 0.0000 0.0000 In
0.5000 0.0000 0.5000 In
0.1023 0.8977 0.0925 Hg
0.1023 0.8977 0.4075 Hg
0.2016 0.4603 0.7500 Hg
0.3288 0.3288 0.0000 Hg
0.3288 0.3288 0.5000 Hg
0.4603 0.2016 0.2500 Hg
0.5397 0.7984 0.7500 Hg
0.6712 0.6712 0.0000 Hg
0.6712 0.6712 0.5000 Hg
0.7984 0.5397 0.2500 Hg
0.8977 0.1023 0.5925 Hg
0.8977 0.1023 0.9075 Hg

---

(4)
PBE-GGA Y4InHg, optimized geometry; total moment = 0.00 μB per cell; crystal system = cubic; SG = No. 216
1.0
0.0000 4.4680 4.4680
4.4680 0.0000 4.4680
4.4680 4.4680 0.0000
Y In Hg
4 1 1
Direct
0.1255 0.1255 0.1255 Y
0.1255 0.1255 0.6236 Y
0.1255 0.6236 0.1255 Y
0.6236 0.1255 0.1255 Y
0.5000 0.5000 0.5000 In
0.7500 0.7500 0.7500 Hg

---

(5)
PBE-GGA YInHg, optimized geometry; total moment = 0.00 μB per cell; crystal system = cubic; SG = No. 216
1.0
0.0000 3.4477 3.4477
3.4477 0.0000 3.4477
3.4477 3.4477 0.0000
Y In Hg
1 1 1
Direct
0.0000 0.0000 0.0000 Y
0.5000 0.5000 0.5000 In
0.7500 0.7500 0.7500 Hg

---

(6)
PBE-GGA YInHg, optimized geometry; total moment = 0.00 μB per cell; crystal system = orthorhombic; SG = No. 51
1.0
14.4509 0.0000 0.0000
0.0000 3.8673 0.0000
0.0000 0.0000 8.1978
Y In Hg
6 6 6
Direct
0.0625 0.0000 0.2280 Y
0.2500 0.0000 0.7936 Y
0.4375 0.0000 0.2280 Y
0.5625 0.0000 0.7720 Y
0.7500 0.0000 0.2064 Y
0.9375 0.0000 0.7720 Y
0.1011 0.5000 0.5552 In
0.2500 0.5000 0.1402 In
0.3989 0.5000 0.5552 In
0.6011 0.5000 0.4448 In
0.7500 0.5000 0.8598 In
0.8989 0.5000 0.4448 In
0.0917 0.5000 0.9181 Hg
0.2500 0.0000 0.4213 Hg
0.4083 0.5000 0.9181 Hg
0.5917 0.5000 0.0819 Hg
0.7500 0.0000 0.5787 Hg
0.9083 0.5000 0.0819 Hg

---

The records above give, respectively, energy of formation from the pure elements values of -542, -217, -76, 128, -124, -122 kJ/mol of formula units.